BaNdPd2O5: optimized geometry, PBE.

Cell and atoms, written as extended XYZ:
```
9
Lattice="4.106 0.000 0.000 0.000 4.106 0.000 0.000 0.000 7.780" Properties=species:S:1:pos:R:3 pbc="T T T"
Ba 0.000 0.000 0.000
Nd 0.000 0.000 3.890
Pd 2.053 2.053 2.154
Pd 2.053 2.053 5.626
O 0.000 2.053 2.419
O 0.000 2.053 5.361
O 2.053 0.000 2.419
O 2.053 0.000 5.361
O 2.053 2.053 0.000
```

Properties
Magnetic moment in μB per atom: 0.000
DFT total energy in eV per cell: -57.08
Calculated density in g cm⁻³: 7.271

***

Ba3NdPu2O9: optimized geometry, PBE.

Cell and atoms, written as extended XYZ:
```
15
Lattice="6.283 0.000 0.000 -3.142 5.441 0.000 0.000 0.000 7.694" Properties=species:S:1:pos:R:3 pbc="T T T"
Ba 0.000 0.000 0.000
Ba 0.000 3.628 5.090
Ba 3.142 1.814 2.604
Nd 0.000 0.000 3.847
Pu 0.000 3.628 1.245
Pu 3.142 1.814 6.449
O -1.571 2.721 0.000
O 0.000 1.889 2.490
O -1.506 4.497 2.490
O 1.636 0.945 5.204
O 3.142 0.000 0.000
O 1.571 2.721 0.000
O 1.506 4.497 2.490
O 4.647 0.945 5.204
O 3.142 3.552 5.204
```

Properties
Magnetic moment in μB per atom: 0.467
DFT total energy in eV per cell: -128.29
Calculated density in g cm⁻³: 7.501

***

BaNdPuO6: optimized geometry, PBE.

Cell and atoms, written as extended XYZ:
```
18
Lattice="6.012 0.000 0.000 -3.006 5.206 0.000 0.000 0.000 10.791" Properties=species:S:1:pos:R:3 pbc="T T T"
Ba 0.000 0.000 0.000
Ba 0.000 0.000 5.396
Nd 0.000 3.471 2.698
Nd 3.006 1.735 8.094
Pu 0.000 3.471 8.094
Pu 3.006 1.735 2.698
O -0.927 2.056 6.987
O -1.689 3.376 9.200
O 0.927 2.056 9.200
O -0.762 4.981 6.987
O 2.244 0.225 1.591
O 1.317 1.830 3.804
O 1.689 3.376 6.987
O 0.762 4.981 9.200
O 3.768 0.225 3.804
O 2.079 3.150 1.591
O 4.695 1.830 1.591
O 3.932 3.150 3.804
```

Properties
Magnetic moment in μB per atom: 0.111
DFT total energy in eV per cell: -152.17
Calculated density in g cm⁻³: 6.112

***

Ba2NdReO6: optimized geometry, PBE.

Cell and atoms, written as extended XYZ:
```
10
Lattice="0.000 4.312 4.312 4.312 0.000 4.312 4.312 4.312 0.000" Properties=species:S:1:pos:R:3 pbc="T T T"
Ba 2.156 2.156 2.156
Ba 6.468 6.468 6.468
Nd 0.000 0.000 0.000
Re 4.312 4.312 4.312
O 4.312 4.312 2.328
O 4.312 2.328 4.312
O 6.296 4.312 4.312
O 2.328 4.312 4.312
O 4.312 6.296 4.312
O 4.312 4.312 6.296
```

Properties
Magnetic moment in μB per atom: 0.191
DFT total energy in eV per cell: -76.12
Calculated density in g cm⁻³: 7.259

***

The following formation energy (no corrections) values (in eV/atom) correspond, in order, to the records above: -1.691; -2.964; -2.812; -2.531.